This record from the Alexandria database describes a relaxed PaCr2O5 crystal. The functional is GGA+U.

As for the crystal system: orthorhombic. The uncorrected energy comes out at -8.488 eV/atom.

The structure belongs to space group Pnma (No. 62); the cell edges are 9.2856, 6.5174 and 7.0034 Å and the angles 90.00°, 90.00° and 90.00°. The asymmetric unit holds Pa at (0.0024, 0.2500, 0.0752), Cr at (0.1493, 0.0108, 0.5607), O at (0.0102, 0.2500, 0.4513), O at (0.0659, 0.0444, 0.8309), O at (0.2147, 0.7500, 0.0673) and O at (0.2345, 0.2500, 0.1266).